Li2AlOs: single point on PBEsol structure, SCAN.

## Properties
electronic total energy: -85.13 eV for the cell shown
ΔH_f (0 K): -181 meV/atom
D(E_F): 0.31 states/eV/atom

abc: 2.7145 4.3562 4.9989
angles: 105.02 105.75 90.00
Element x y z (fractional)
Al (0.5000, 0.0000, 0.0000)
Li (0.2515, 0.2654, 0.5030)
Os (0.0000, 0.5000, 0.0000)
Li (0.7485, 0.7346, 0.4970)